[1]
Pr12C6I17 | meta-GGA SCAN | PBEsol geometry

Results
The density of states at the Fermi level is 21.7 states/eV/cell. As for the total magnetic moment: 0.000 μB per atom. The calculation puts the volume at 33.7 Å³/atom. As for the final energy: -35.722 eV/atom.

a = 19.8419 Å, b = 12.4777 Å, c = 19.0533 Å
α = 90.00°, β = 91.04°, γ = 90.00°
Closest atoms and distances in Å follow each position.
Space group C2/c (No. 15)
Inequivalent atoms, fractional coordinates:
Pr: 0.0046 0.2094 0.4793 x8  4 C 2.64-2.84
Pr: 0.0420 0.0096 0.8715 x8  1 C 2.36
Pr: 0.0479 0.4743 0.3465 x8  1 C 2.33
Pr: 0.0747 0.2342 0.2109 x8  4 C 2.68-2.81
Pr: 0.1441 0.0005 0.0518 x8  1 C 2.32
Pr: 0.1644 0.2371 0.3849 x8  2 C 2.55-2.58
C: 0.0330 0.9997 0.0120 x8  1 C 1.38
C: 0.0443 0.1762 0.3494 x8  1 C 1.39
C: 0.0448 0.2877 0.3465 x8  1 C 1.39
I: 0.0000 0.5000 0.0000 x4  2 Pr 3.11
I: 0.0436 0.2636 0.8602 x8  3 Pr 3.18-3.29
I: 0.1025 0.0270 0.7095 x8  4 Pr 3.15-3.34
I: 0.1063 0.4900 0.1954 x8  3 Pr 3.13-3.27
I: 0.1476 0.2517 0.0592 x8  3 Pr 3.14-3.26
I: 0.1541 0.2554 0.5524 x8  3 Pr 3.20-3.30
I: 0.1960 0.4867 0.3996 x8  3 Pr 3.10-3.29
I: 0.2017 0.0123 0.8996 x8  3 Pr 3.14-3.21
I: 0.2355 0.2324 0.2454 x8  2 Pr 3.03-3.25


[2]
RbPr6C2I12 | meta-GGA SCAN | PBEsol geometry

Results
The density of states at the Fermi level is 0.6 states/eV/cell. As for the total magnetic moment: 0.049 μB per atom. The calculation puts the volume at 37.9 Å³/atom. As for the final energy: -36.772 eV/atom.

a = 9.4938 Å, b = 9.5525 Å, c = 10.0282 Å
α = 70.60°, β = 71.98°, γ = 72.60°
Closest atoms and distances in Å follow each position.
Space group P-1 (No. 2)
Inequivalent atoms, fractional coordinates:
Rb: 0.0000 0.0000 0.0000 x1  10 I 3.92-4.39
Pr: 0.2254 0.5914 0.4758 x2  2 C 2.64-2.65
Pr: 0.3894 0.5222 0.8122 x2  1 C 2.34
Pr: 0.4689 0.2248 0.5906 x2  2 C 2.64-2.66
C: 0.4755 0.5052 0.5720 x2  1 C 1.40
I: 0.0570 0.6487 0.7830 x2  2 Pr 3.09-3.15
I: 0.1314 0.2751 0.5696 x2  3 Pr 3.16-3.36
I: 0.2128 0.9356 0.3534 x2  2 Pr 3.08
I: 0.2719 0.5912 0.1420 x2  3 Pr 3.20-3.37
I: 0.3383 0.1919 0.9270 x2  2 Pr 3.11-3.16
I: 0.4302 0.8641 0.7121 x2  3 Pr 3.19-3.34


[3]
TePtCI2 | meta-GGA SCAN | PBEsol geometry

Results
The density of states at the Fermi level is 4.7 states/eV/cell. As for the total magnetic moment: 0.000 μB per atom. The calculation puts the volume at 21.2 Å³/atom. As for the final energy: -36.565 eV/atom.

a = 4.6735 Å, b = 4.6735 Å, c = 4.8579 Å
α = 90.00°, β = 90.00°, γ = 90.00°
Closest atoms and distances in Å follow each position.
Space group P4/mmm (No. 123)
Inequivalent atoms, fractional coordinates:
Te: 0.0000 0.0000 0.0000 x1  2 C 2.43
Pt: 0.5000 0.5000 0.0000 x1  4 Te 3.30, 8 I 3.37
C: 0.0000 0.0000 0.5000 x1  4 I 2.34, 2 Te 2.43
I: 0.0000 0.5000 0.5000 x2  2 C 2.34


[4]
RbC3I | meta-GGA SCAN | PBEsol geometry

Results
The density of states at the Fermi level is 4.0 states/eV/cell. As for the total magnetic moment: 0.002 μB per atom. The calculation puts the volume at 17.1 Å³/atom. The value obtained for the energy above the most stable polymorph in this dataset is 0.00 eV per formula unit.

a = 4.4036 Å, b = 4.4036 Å, c = 4.4036 Å
α = 90.00°, β = 90.00°, γ = 90.00°
Closest atoms and distances in Å follow each position.
Space group Pm-3m (No. 221)
Inequivalent atoms, fractional coordinates:
Rb: 0.0000 0.0000 0.0000 x1  12 C 3.11
C: 0.0000 0.5000 0.5000 x3  2 I 2.20
I: 0.5000 0.5000 0.5000 x1  6 C 2.20


[5]
RbC3I | meta-GGA SCAN | PBEsol geometry

Results
The density of states at the Fermi level is 6.0 states/eV/cell. As for the total magnetic moment: 1.200 μB per atom. The calculation puts the volume at 28.3 Å³/atom. The value obtained for the energy above the most stable polymorph in this dataset is 4.11 eV per formula unit.

a = 5.2115 Å, b = 5.2115 Å, c = 5.2115 Å
α = 90.00°, β = 90.00°, γ = 90.00°
Closest atoms and distances in Å follow each position.
Space group Pm-3m (No. 221)
Inequivalent atoms, fractional coordinates:
Rb: 0.0000 0.0000 0.0000 x1  6 C 2.61
C: 0.0000 0.0000 0.5000 x3  2 Rb 2.61
I: 0.5000 0.5000 0.5000 x1  12 C 3.69


[6]
Rb3CI | meta-GGA SCAN | PBEsol geometry

Results
The density of states at the Fermi level is 3.3 states/eV/cell. As for the total magnetic moment: 0.405 μB per atom. The calculation puts the volume at 40.8 Å³/atom. As for the final energy: -21.634 eV/atom.

a = 5.8865 Å, b = 5.8865 Å, c = 5.8865 Å
α = 90.00°, β = 90.00°, γ = 90.00°
Closest atoms and distances in Å follow each position.
Space group Pm-3m (No. 221)
Inequivalent atoms, fractional coordinates:
Rb: 0.0000 0.0000 0.5000 x3  2 C 2.94
C: 0.0000 0.0000 0.0000 x1  6 Rb 2.94
I: 0.5000 0.5000 0.5000 x1  12 Rb 4.16


[7]
RbSbCI2 | meta-GGA SCAN | PBEsol geometry

Results
The density of states at the Fermi level is 7.9 states/eV/cell. As for the total magnetic moment: 1.113 μB per atom. The calculation puts the volume at 66.1 Å³/atom. As for the final energy: -26.598 eV/atom.

a = 6.7093 Å, b = 6.7093 Å, c = 7.3396 Å
α = 90.00°, β = 90.00°, γ = 90.00°
Closest atoms and distances in Å follow each position.
Space group P4/mmm (No. 123)
Inequivalent atoms, fractional coordinates:
Rb: 0.0000 0.0000 0.0000 x1  4 I 3.35, 2 Sb 3.67
Sb: 0.0000 0.0000 0.5000 x1  2 Rb 3.67
C: 0.5000 0.5000 0.5000 x1  4 Sb 4.74, 8 I 4.97
I: 0.0000 0.5000 0.0000 x2  2 Rb 3.35


[8]
RbTe2CI | meta-GGA SCAN | PBEsol geometry

Results
The density of states at the Fermi level is 11.1 states/eV/cell. As for the total magnetic moment: 1.194 μB per atom. The calculation puts the volume at 63.5 Å³/atom. As for the final energy: -26.459 eV/atom.

a = 6.8714 Å, b = 6.8714 Å, c = 6.7201 Å
α = 90.00°, β = 90.00°, γ = 90.00°
Closest atoms and distances in Å follow each position.
Space group P4/mmm (No. 123)
Inequivalent atoms, fractional coordinates:
Rb: 0.0000 0.0000 0.0000 x1  2 I 3.36, 4 Te 3.44
Te: 0.0000 0.5000 0.0000 x2  2 Rb 3.44
C: 0.5000 0.5000 0.5000 x1  8 Te 4.81, 4 I 4.86
I: 0.0000 0.0000 0.5000 x1  2 Rb 3.36


[9]
RbZr6CI14 | meta-GGA SCAN | PBEsol geometry

Results
The density of states at the Fermi level is 26.0 states/eV/cell. As for the total magnetic moment: 0.000 μB per atom. The calculation puts the volume at 32.4 Å³/atom. As for the final energy: -34.273 eV/atom.

a = 15.7286 Å, b = 14.2392 Å, c = 12.7167 Å
α = 90.00°, β = 90.00°, γ = 90.00°
Closest atoms and distances in Å follow each position.
Space group Cmce (No. 64)
Inequivalent atoms, fractional coordinates:
Rb: 0.0000 0.0000 0.0000 x4  12 I 3.74-4.17
Zr: 0.0000 0.1316 0.4021 x8  1 C 2.25
Zr: 0.1046 0.0636 0.6081 x16  1 C 2.33
C: 0.0000 0.0000 0.5000 x4  6 Zr 2.25-2.33
I: 0.0000 0.1573 0.7649 x8  2 Zr 2.91
I: 0.1253 0.0894 0.2472 x16  2 Zr 2.85-2.87
I: 0.1261 0.2421 0.5061 x16  2 Zr 2.86-2.87
I: 0.2479 0.0000 0.0000 x8  2 Zr 2.84
I: 0.2500 0.1515 0.7500 x8  2 Zr 3.17


[10]
ReC3I | meta-GGA SCAN | PBEsol geometry

Results
The density of states at the Fermi level is 2.1 states/eV/cell. As for the total magnetic moment: 0.031 μB per atom. The calculation puts the volume at 14.0 Å³/atom. As for the final energy: -25.473 eV/atom.

a = 4.1223 Å, b = 4.1223 Å, c = 4.1223 Å
α = 90.00°, β = 90.00°, γ = 90.00°
Closest atoms and distances in Å follow each position.
Space group Pm-3m (No. 221)
Inequivalent atoms, fractional coordinates:
Re: 0.0000 0.0000 0.0000 x1  6 C 2.06
C: 0.0000 0.0000 0.5000 x3  2 Re 2.06
I: 0.5000 0.5000 0.5000 x1  12 C 2.91


[11]
ReSb2CI | meta-GGA SCAN | PBEsol geometry

Results
The density of states at the Fermi level is 3.6 states/eV/cell. As for the total magnetic moment: 0.001 μB per atom. The calculation puts the volume at 18.8 Å³/atom. As for the final energy: -36.546 eV/atom.

a = 4.5400 Å, b = 4.5400 Å, c = 4.5654 Å
α = 90.00°, β = 90.00°, γ = 90.00°
Closest atoms and distances in Å follow each position.
Space group P4/mmm (No. 123)
Inequivalent atoms, fractional coordinates:
Re: 0.0000 0.0000 0.0000 x1  4 I 3.21, 8 Sb 3.22
Sb: 0.0000 0.5000 0.5000 x2  2 C 2.27
C: 0.5000 0.5000 0.5000 x1  4 Sb 2.27, 2 I 2.28
I: 0.5000 0.5000 0.0000 x1  2 C 2.28


[12]
RhC3I | meta-GGA SCAN | PBEsol geometry

Results
The density of states at the Fermi level is 1.8 states/eV/cell. As for the total magnetic moment: 0.000 μB per atom. The calculation puts the volume at 13.0 Å³/atom. As for the final energy: -16.490 eV/atom.

a = 4.0178 Å, b = 4.0178 Å, c = 4.0178 Å
α = 90.00°, β = 90.00°, γ = 90.00°
Closest atoms and distances in Å follow each position.
Space group Pm-3m (No. 221)
Inequivalent atoms, fractional coordinates:
Rh: 0.0000 0.0000 0.0000 x1  12 C 2.84
C: 0.0000 0.5000 0.5000 x3  2 I 2.01
I: 0.5000 0.5000 0.5000 x1  6 C 2.01


[13]
RhCI3 | meta-GGA SCAN | PBEsol geometry

Results
The density of states at the Fermi level is 5.2 states/eV/cell. As for the total magnetic moment: 0.156 μB per atom. The calculation puts the volume at 29.3 Å³/atom. The value obtained for the energy above the most stable polymorph in this dataset is 0.00 eV per formula unit.

a = 5.2700 Å, b = 5.2700 Å, c = 5.2700 Å
α = 90.00°, β = 90.00°, γ = 90.00°
Closest atoms and distances in Å follow each position.
Space group Pm-3m (No. 221)
Inequivalent atoms, fractional coordinates:
Rh: 0.0000 0.0000 0.0000 x1  6 I 2.63
C: 0.5000 0.5000 0.5000 x1  12 I 3.73
I: 0.0000 0.0000 0.5000 x3  2 Rh 2.63


[14]
RhCI3 | meta-GGA SCAN | PBEsol geometry

Results
The density of states at the Fermi level is 4.2 states/eV/cell. As for the total magnetic moment: 0.461 μB per atom. The calculation puts the volume at 22.8 Å³/atom. The value obtained for the energy above the most stable polymorph in this dataset is 0.49 eV per formula unit.

a = 4.8471 Å, b = 4.8471 Å, c = 4.8471 Å
α = 90.00°, β = 90.00°, γ = 90.00°
Closest atoms and distances in Å follow each position.
Space group Pm-3m (No. 221)
Inequivalent atoms, fractional coordinates:
Rh: 0.0000 0.0000 0.0000 x1  12 I 3.43
C: 0.5000 0.5000 0.5000 x1  6 I 2.42
I: 0.0000 0.5000 0.5000 x3  2 C 2.42


[15]
Sb2RhCI | meta-GGA SCAN | PBEsol geometry

Results
The density of states at the Fermi level is 2.7 states/eV/cell. As for the total magnetic moment: 0.000 μB per atom. The calculation puts the volume at 19.7 Å³/atom. The value obtained for the energy above the most stable polymorph in this dataset is 0.00 eV per formula unit.

a = 4.6511 Å, b = 4.6511 Å, c = 4.5516 Å
α = 90.00°, β = 90.00°, γ = 90.00°
Closest atoms and distances in Å follow each position.
Space group P4/mmm (No. 123)
Inequivalent atoms, fractional coordinates:
Sb: 0.0000 0.5000 0.0000 x2  2 C 2.33
Rh: 0.0000 0.0000 0.5000 x1  8 Sb 3.25, 4 I 3.29
C: 0.5000 0.5000 0.0000 x1  2 I 2.28, 4 Sb 2.33
I: 0.5000 0.5000 0.5000 x1  2 C 2.28


[16]
Sb2RhCI | meta-GGA SCAN | PBEsol geometry

Results
The density of states at the Fermi level is 3.7 states/eV/cell. As for the total magnetic moment: 0.414 μB per atom. The calculation puts the volume at 27.2 Å³/atom. The value obtained for the energy above the most stable polymorph in this dataset is 0.84 eV per formula unit.

a = 4.9951 Å, b = 4.9951 Å, c = 5.4530 Å
α = 90.00°, β = 90.00°, γ = 90.00°
Closest atoms and distances in Å follow each position.
Space group P4/mmm (No. 123)
Inequivalent atoms, fractional coordinates:
Sb: 0.0000 0.5000 0.0000 x2  2 Rh 2.50
Rh: 0.0000 0.0000 0.0000 x1  4 Sb 2.50, 2 I 2.73
C: 0.5000 0.5000 0.5000 x1  4 I 3.53, 8 Sb 3.70
I: 0.0000 0.0000 0.5000 x1  2 Rh 2.73


[17]
TeRhCI2 | meta-GGA SCAN | PBEsol geometry

Results
The density of states at the Fermi level is 4.2 states/eV/cell. As for the total magnetic moment: 0.330 μB per atom. The calculation puts the volume at 21.1 Å³/atom. As for the final energy: -29.295 eV/atom.

a = 4.6890 Å, b = 4.6890 Å, c = 4.8042 Å
α = 90.00°, β = 90.00°, γ = 90.00°
Closest atoms and distances in Å follow each position.
Space group P4/mmm (No. 123)
Inequivalent atoms, fractional coordinates:
Te: 0.0000 0.0000 0.0000 x1  2 C 2.40
Rh: 0.5000 0.5000 0.0000 x1  4 Te 3.32, 8 I 3.36
C: 0.0000 0.0000 0.5000 x1  4 I 2.34, 2 Te 2.40
I: 0.0000 0.5000 0.5000 x2  2 C 2.34


[18]
RuC2I | meta-GGA SCAN | PBEsol geometry

Results
The density of states at the Fermi level is 5.0 states/eV/cell. As for the total magnetic moment: 0.000 μB per atom. The calculation puts the volume at 11.6 Å³/atom. As for the final energy: -20.235 eV/atom.

a = 5.6987 Å, b = 5.6987 Å, c = 5.6987 Å
α = 90.00°, β = 90.00°, γ = 90.00°
Closest atoms and distances in Å follow each position.
Space group Fm-3m (No. 225)
Inequivalent atoms, fractional coordinates:
Ru: 0.0000 0.0000 0.0000 x4  8 C 2.47
C: 0.2500 0.2500 0.2500 x8  4 Ru 2.47, 4 I 2.47
I: 0.0000 0.0000 0.5000 x4  8 C 2.47


[19]
Ru2CI | meta-GGA SCAN | PBEsol geometry

Results
The density of states at the Fermi level is 13.1 states/eV/cell. As for the total magnetic moment: 0.000 μB per atom. The calculation puts the volume at 13.8 Å³/atom. As for the final energy: -27.422 eV/atom.

a = 6.0395 Å, b = 6.0395 Å, c = 6.0395 Å
α = 90.00°, β = 90.00°, γ = 90.00°
Closest atoms and distances in Å follow each position.
Space group Fm-3m (No. 225)
Inequivalent atoms, fractional coordinates:
Ru: 0.2500 0.2500 0.2500 x8  4 I 2.62, 4 C 2.62
C: 0.0000 0.0000 0.0000 x4  8 Ru 2.62
I: 0.0000 0.0000 0.5000 x4  8 Ru 2.62


[20]
TaRuC2I | meta-GGA SCAN | PBEsol geometry

Results
The density of states at the Fermi level is 5.0 states/eV/cell. As for the total magnetic moment: 0.001 μB per atom. The calculation puts the volume at 17.3 Å³/atom. As for the final energy: -29.791 eV/atom.

a = 4.1022 Å, b = 4.1022 Å, c = 5.1372 Å
α = 90.00°, β = 90.00°, γ = 90.00°
Closest atoms and distances in Å follow each position.
Space group P4/mmm (No. 123)
Inequivalent atoms, fractional coordinates:
Ta: 0.0000 0.0000 0.0000 x1  4 C 2.05
Ru: 0.0000 0.0000 0.5000 x1  2 Ta 2.57
C: 0.0000 0.5000 0.0000 x2  2 Ta 2.05
I: 0.5000 0.5000 0.5000 x1  4 Ru 2.90


[21]
ScSb2CI | meta-GGA SCAN | PBEsol geometry

Results
The density of states at the Fermi level is 3.5 states/eV/cell. As for the total magnetic moment: 0.338 μB per atom. The calculation puts the volume at 32.2 Å³/atom. As for the final energy: -25.713 eV/atom.

a = 5.4574 Å, b = 5.4574 Å, c = 5.4106 Å
α = 90.00°, β = 90.00°, γ = 90.00°
Closest atoms and distances in Å follow each position.
Space group P4/mmm (No. 123)
Inequivalent atoms, fractional coordinates:
Sc: 0.0000 0.0000 0.0000 x1  2 I 2.71, 4 Sb 2.73
Sb: 0.0000 0.5000 0.0000 x2  2 Sc 2.73
C: 0.5000 0.5000 0.5000 x1  8 Sb 3.84, 4 I 3.86
I: 0.0000 0.0000 0.5000 x1  2 Sc 2.71


[22]
SrSbCI2 | meta-GGA SCAN | PBEsol geometry

Results
The density of states at the Fermi level is 6.5 states/eV/cell. As for the total magnetic moment: 0.901 μB per atom. The calculation puts the volume at 50.2 Å³/atom. As for the final energy: -27.428 eV/atom.

a = 6.1806 Å, b = 6.1806 Å, c = 6.5712 Å
α = 90.00°, β = 90.00°, γ = 90.00°
Closest atoms and distances in Å follow each position.
Space group P4/mmm (No. 123)
Inequivalent atoms, fractional coordinates:
Sr: 0.0000 0.0000 0.0000 x1  4 I 3.09, 2 Sb 3.29
Sb: 0.0000 0.0000 0.5000 x1  2 Sr 3.29
C: 0.5000 0.5000 0.5000 x1  4 Sb 4.37, 8 I 4.51
I: 0.0000 0.5000 0.0000 x2  2 Sr 3.09